DFT (PBE) results for an optimized crystal structure of GaBi12O20.

Output
V (A^3/atom): 16.24
Total magnetization (Bohr magnetons per cell): 0.00
Symmetry: No. 197
Formation energy (no corrections) (eV per atom): -1.23
N(E_F) (states/eV/f.u.): 18.72

Cell and atoms, written as extended XYZ:
```
33
Lattice="-5.117 5.117 5.117 5.117 -5.117 5.117 5.117 5.117 -5.117" Properties=species:S:1:pos:R:3 pbc="T T T"
Ga 0.000 0.000 0.000
Bi 5.010 3.325 -1.879
Bi 6.997 -0.108 1.793
Bi 3.238 0.108 1.793
Bi 3.325 -1.879 5.010
Bi 1.793 3.238 0.108
Bi 0.108 1.793 3.238
Bi 5.225 3.325 1.879
Bi 1.793 6.997 -0.108
Bi 3.325 1.879 5.225
Bi -1.879 5.010 3.325
Bi 1.879 5.225 3.325
Bi -0.108 1.793 6.997
O 1.093 1.093 -1.093
O 3.159 3.159 -3.159
O 1.093 -1.093 1.093
O 3.159 -3.159 3.159
O 5.245 -1.345 2.569
O -1.093 1.093 1.093
O 3.773 2.549 -0.128
O 6.462 2.549 0.128
O 2.549 -0.128 3.773
O 2.569 5.245 -1.345
O 4.990 1.345 2.569
O 1.959 1.959 1.959
O -3.159 3.159 3.159
O -0.128 3.773 2.549
O 2.569 4.990 1.345
O 2.549 0.128 6.462
O 1.345 2.569 4.990
O -1.345 2.569 5.245
O 4.024 4.024 4.024
O 0.128 6.462 2.549
```